# 1
Density functional theory data (PBE) for a relaxed structure of ScNbAsW2.

Computed properties:
The formation enthalpy at 0 K comes out at 8.27 eV per formula unit. As for the crystal system: tetragonal.

Cell lengths 4.7314, 4.7314, 5.1801 Å; angles 90.00, 90.00, 90.00 degrees
Last column: nearest neighbours and their distance in Å.
Atoms (fractional coordinates):
Sc  0.0000  0.0000  0.0000  2 Nb 2.59
Nb  0.0000  0.0000  0.5000  4 W 2.37, 2 Sc 2.59
As  0.5000  0.5000  0.0000  4 Sc 3.35, 8 W 3.51
W  0.0000  0.5000  0.5000  2 Nb 2.37
W  0.5000  0.0000  0.5000  2 Nb 2.37



# 2
Density functional theory data (PBE) for a relaxed structure of Mg7Cd12Rh.

Computed properties:
The formation enthalpy at 0 K comes out at -1.86 eV per formula unit. As for the crystal system: trigonal.

Cell lengths 7.8805, 7.8805, 7.8805 Å; angles 104.66, 104.66, 104.66 degrees
Last column: nearest neighbours and their distance in Å.
Atoms (fractional coordinates):
Mg  0.0000  0.0000  0.0000  12 Cd 2.99-3.09
Mg  0.1969  0.6282  0.5315  1 Rh 2.86, 5 Cd 2.87-3.20, 3 Mg 2.97-3.08
Mg  0.3718  0.4685  0.8031  1 Rh 2.86, 5 Cd 2.87-3.20, 3 Mg 2.97-3.08
Mg  0.4685  0.8031  0.3718  1 Rh 2.86, 5 Cd 2.87-3.20, 3 Mg 2.97-3.08
Mg  0.5315  0.1969  0.6282  1 Rh 2.86, 5 Cd 2.87-3.20, 3 Mg 2.97-3.08
Mg  0.6282  0.5315  0.1969  1 Rh 2.86, 5 Cd 2.87-3.20, 3 Mg 2.97-3.08
Mg  0.8031  0.3718  0.4685  1 Rh 2.86, 5 Cd 2.87-3.20, 3 Mg 2.97-3.08
Cd  0.0511  0.7937  0.2689  3 Mg 2.87-3.16, 5 Cd 3.06-3.15
Cd  0.1350  0.2201  0.4223  5 Mg 2.94-3.21, 1 Rh 2.95, 5 Cd 3.09-3.19
Cd  0.2063  0.7311  0.9489  3 Mg 2.87-3.16, 5 Cd 3.06-3.15
Cd  0.2201  0.4223  0.1350  5 Mg 2.94-3.21, 1 Rh 2.95, 5 Cd 3.09-3.19
Cd  0.2689  0.0511  0.7937  3 Mg 2.87-3.16, 5 Cd 3.06-3.15
Cd  0.4223  0.1350  0.2201  5 Mg 2.94-3.21, 1 Rh 2.95, 5 Cd 3.09-3.19
Cd  0.5777  0.8650  0.7799  5 Mg 2.94-3.21, 1 Rh 2.95, 5 Cd 3.09-3.19
Cd  0.7311  0.9489  0.2063  3 Mg 2.87-3.16, 5 Cd 3.06-3.15
Cd  0.7799  0.5777  0.8650  5 Mg 2.94-3.21, 1 Rh 2.95, 5 Cd 3.09-3.19
Cd  0.7937  0.2689  0.0511  3 Mg 2.87-3.16, 5 Cd 3.06-3.15
Cd  0.8650  0.7799  0.5777  5 Mg 2.94-3.21, 1 Rh 2.95, 5 Cd 3.09-3.19
Cd  0.9489  0.2063  0.7311  3 Mg 2.87-3.16, 5 Cd 3.06-3.15
Rh  0.5000  0.5000  0.5000  6 Mg 2.86, 6 Cd 2.95